Entry from Alexandria via LeMat-Bulk: a relaxed HgMoRh2 crystal (PBE-GGA).

Summary:
space-group type	P4/mmm (123)
energy of formation	1.1	eV/f.u.

Unit cell a=4.142 b=4.142 c=3.757 alpha=90.00 beta=90.00 gamma=90.00
Atoms (fractional coordinates):
Hg 0.000 0.000 0.000
Mo 0.500 0.500 0.000
Rh 0.000 0.500 0.500
Rh 0.500 0.000 0.500